# LiMgAu2

An optimized crystal structure of LiMgAu2 (GGA-PBE, Alexandria via LeMat-Bulk).

Cell: 3.1199 4.6492 4.6488 Å, 90.00 90.01 90.00°
Space group Pm (No. 6)
Inequivalent atoms, fractional coordinates:
1 Li 0.0000 0.0000 0.0000 [1 per cell]
2 Mg 0.9977 0.5000 0.4972 [1 per cell]
3 Au 0.4986 0.0000 0.5003 [1 per cell]
4 Au 0.4987 0.5000 0.9973 [1 per cell]

Computed properties:
E: -3.09 eV/atom
DFT formation energy: -0.57 eV/atom